[1]
A plane-wave DFT calculation with SCAN was carried out for a PBEsol-optimized structure of I.

Unit cell a=2.9844 b=3.4713 c=4.3503 alpha=113.51 beta=110.06 gamma=90.00
Sites, in units of the cell vectors:
I1 0.0000 0.0000 0.0000

Results
Raw formation energy (eV per atom): 0.134
Calculated total energy (eV per atom): -36.607
Density of states at the Fermi level (states/eV/f.u.): 0.50
Excess energy over the best structure of this formula in the dataset (meV per atom): 134
Calculated density (Mg/m³): 5.50

=====

[2]
A plane-wave DFT calculation with SCAN was carried out for a PBEsol-optimized structure of ZrSc2Ru.

Unit cell a=3.3028 b=4.8533 c=5.6846 alpha=115.27 beta=106.89 gamma=90.00
Sites, in units of the cell vectors:
Sc1 0.9598 0.9598 0.9196
Ru1 0.2473 0.7473 0.4946
Zr1 0.5413 0.5413 0.0826
Sc2 0.7516 0.2516 0.5032

Results
Calculated total energy (eV per atom): -23.917
Density of states at the Fermi level (states/eV/f.u.): 3.15
Excess energy over the best structure of this formula in the dataset (meV per atom): 0
Calculated density (Mg/m³): 6.01
Formation enthalpy at 0 K (meV/atom): -417

=====

[3]
A plane-wave DFT calculation with SCAN was carried out for a PBEsol-optimized structure of Tl3BSe3.

Unit cell a=5.4900 b=6.7402 c=10.0706 alpha=90.00 beta=90.00 gamma=96.45
Sites, in units of the cell vectors:
Se1 0.6845 0.4526 0.7500
B1 0.6110 0.7396 0.2500
Tl1 0.8032 0.9833 0.7500
Tl2 0.7302 0.3342 0.0555
B2 0.3890 0.2604 0.7500
Tl3 0.2698 0.6658 0.5555
Se2 0.7589 0.8343 0.4187
Tl4 0.7302 0.3342 0.4445
Se3 0.2411 0.1657 0.5813
Tl5 0.1968 0.0167 0.2500
Tl6 0.2698 0.6658 0.9445
Se4 0.7589 0.8343 0.0813
Se5 0.3155 0.5474 0.2500
Se6 0.2411 0.1657 0.9187

Results
Raw formation energy (eV per atom): -0.359
Calculated total energy (eV per atom): -41.036
Calculated density (Mg/m³): 7.72